Material: KFeF2
Method: DFT, PBE+U
State: relaxed

Unit cell a=7.2724 b=7.2724 c=7.2724 alpha=28.22 beta=28.22 gamma=28.22
Last column: magnetic moment on the atom in μB.
Atoms (fractional coordinates):
K 0.5000 0.5000 0.5000  0.00
F 0.0913 0.0913 0.0913  0.00
F 0.9087 0.9087 0.9087  0.00
Fe 0.0000 0.0000 0.0000  3.42

Output
Crystal system: trigonal
Spin magnetization: 3.1 μB/f.u.
E: -0.321 Ry per atom
Space group: R-3m